First-principles (PBE) data for a relaxed La2Y3ErAs6 crystal, as listed in the Alexandria database.

CIF file:
```
data_La2Y3ErAs6
_cell_length_a 18.316
_cell_length_b 4.207
_cell_length_c 8.408
_cell_angle_alpha 90.00
_cell_angle_beta 103.27
_cell_angle_gamma 90.00
_space_group_name_H-M_alt 'C 1 2/m 1'
_space_group_IT_number 12
_space_group_name_Hall '-C 2y'
loop_
_atom_site_label
_atom_site_type_symbol
_atom_site_fract_x
_atom_site_fract_y
_atom_site_fract_z
_atom_site_occupancy
La1 La 0.165 0.000 0.331 1
Y1 Y 0.000 0.500 0.500 1
Y2 Y 0.167 0.000 0.834 1
Er1 Er 0.000 0.500 0.000 1
As1 As 0.003 0.000 0.754 1
As2 As 0.164 0.500 0.590 1
As3 As 0.165 0.500 0.073 1
```

- ΔH_f (0 K) (kJ per mole of atoms) = -149
- density (g/cm³) = 6.12
- uncorrected energy (eV per atom) = -6.682
- V (Å³ per atom) = 26.275